(1)
# Dy5Ho4, optimized geometry, DFT GGA-PBE
# DFT formation energy (eV/atom): 0.040
# Polymorph energy (0 for the lowest one) (meV per atom): 21
# DOS(E_F) (states/eV per cell): 24.4
data_Dy5Ho4
_cell_length_a 3.588
_cell_length_b 12.038
_cell_length_c 12.945
_cell_angle_alpha 90.00
_cell_angle_beta 90.00
_cell_angle_gamma 90.00
_space_group_name_H-M_alt 'I m m m'
_space_group_IT_number 71
_space_group_name_Hall '-I 2 2'
loop_
_atom_site_label
_atom_site_type_symbol
_atom_site_fract_x
_atom_site_fract_y
_atom_site_fract_z
Dy1 Dy 0.000 0.000 0.000
Dy2 Dy 0.000 0.000 0.374
Dy3 Dy 0.000 0.293 0.000
Ho1 Ho 0.000 0.356 0.310

(2)
# Dy13Ho3, optimized geometry, DFT GGA-PBE
# DFT formation energy (eV/atom): 0.015
# Polymorph energy (0 for the lowest one) (meV per atom): 8
# DOS(E_F) (states/eV per cell): 36.4
data_Dy13Ho3
_cell_length_a 9.975
_cell_length_b 9.991
_cell_length_c 9.991
_cell_angle_alpha 90.00
_cell_angle_beta 90.00
_cell_angle_gamma 90.00
_space_group_name_H-M_alt 'A m m 2'
_space_group_IT_number 38
_space_group_name_Hall 'A 2 -2'
loop_
_atom_site_label
_atom_site_type_symbol
_atom_site_fract_x
_atom_site_fract_y
_atom_site_fract_z
Dy1 Dy 0.000 0.000 0.000
Dy2 Dy 0.000 0.000 0.500
Dy3 Dy 0.000 0.250 0.250
Dy4 Dy 0.250 0.000 0.250
Dy5 Dy 0.250 0.250 0.000
Dy6 Dy 0.500 0.000 0.000
Dy7 Dy 0.500 0.250 0.250
Ho1 Ho 0.250 0.000 0.750
Ho2 Ho 0.500 0.000 0.500

(3)
# DyHoI2, optimized geometry, DFT GGA-PBE
# E_form (uncorrected) (eV per atom): -0.616
# DOS(E_F) (states/eV per cell): 9.2
data_DyHoI2
_cell_length_a 3.8280
_cell_length_b 3.8280
_cell_length_c 31.9017
_cell_angle_alpha 90.00
_cell_angle_beta 90.00
_cell_angle_gamma 120.00
_space_group_name_H-M_alt 'R -3 m'
_space_group_IT_number 166
_space_group_name_Hall '-R 3 2"'
loop_
_atom_site_label
_atom_site_type_symbol
_atom_site_fract_x
_atom_site_fract_y
_atom_site_fract_z
Dy1 Dy 0.0000 0.0000 0.0000
Ho1 Ho 0.0000 0.0000 0.5000
I1 I 0.0000 0.0000 0.4027

(4)
# DyHo2I, optimized geometry, DFT GGA-PBE
# E_form (uncorrected) (eV per atom): -0.328
# Polymorph energy (0 for the lowest one) (meV per atom): 2
# DOS(E_F) (states/eV per cell): 17.7
data_DyHo2I
_cell_length_a 3.7474
_cell_length_b 3.7474
_cell_length_c 31.0968
_cell_angle_alpha 90.00
_cell_angle_beta 90.00
_cell_angle_gamma 120.00
_space_group_name_H-M_alt 'R 3 m'
_space_group_IT_number 160
_space_group_name_Hall 'R 3 -2"'
loop_
_atom_site_label
_atom_site_type_symbol
_atom_site_fract_x
_atom_site_fract_y
_atom_site_fract_z
Dy1 Dy 0.0000 0.0000 0.0000
Ho1 Ho 0.0000 0.0000 0.5797
Ho2 Ho 0.0000 0.0000 0.7545
I1 I 0.0000 0.0000 0.1669

(5)
# DyHo2I, optimized geometry, DFT GGA-PBE
# E_form (uncorrected) (eV per atom): -0.267
# Polymorph energy (0 for the lowest one) (meV per atom): 62
# DOS(E_F) (states/eV per cell): 4.8
data_DyHo2I
_cell_length_a 3.627
_cell_length_b 3.627
_cell_length_c 9.445
_cell_angle_alpha 90.00
_cell_angle_beta 90.00
_cell_angle_gamma 90.00
_space_group_name_H-M_alt 'P 4/m m m'
_space_group_IT_number 123
_space_group_name_Hall '-P 4 2'
loop_
_atom_site_label
_atom_site_type_symbol
_atom_site_fract_x
_atom_site_fract_y
_atom_site_fract_z
Dy1 Dy 0.000 0.000 0.000
Ho1 Ho 0.500 0.500 0.254
I1 I 0.000 0.000 0.500

(6)
# DyHo2I, optimized geometry, DFT GGA-PBE
# E_form (uncorrected) (eV per atom): -0.330
# Polymorph energy (0 for the lowest one) (meV per atom): 0
# DOS(E_F) (states/eV per cell): 14.1
data_DyHo2I
_cell_length_a 3.7202
_cell_length_b 3.7202
_cell_length_c 31.2467
_cell_angle_alpha 90.00
_cell_angle_beta 90.00
_cell_angle_gamma 120.00
_space_group_name_H-M_alt 'R -3 m'
_space_group_IT_number 166
_space_group_name_Hall '-R 3 2"'
loop_
_atom_site_label
_atom_site_type_symbol
_atom_site_fract_x
_atom_site_fract_y
_atom_site_fract_z
Dy1 Dy 0.0000 0.0000 0.0000
Ho1 Ho 0.0000 0.0000 0.2458
I1 I 0.0000 0.0000 0.5000

(7)
# DyHo2IO8, optimized geometry, DFT GGA-PBE
# E_form (uncorrected) (eV per atom): -2.361
data_DyHo2IO8
_cell_length_a 7.043
_cell_length_b 7.129
_cell_length_c 6.811
_cell_angle_alpha 90.00
_cell_angle_beta 90.00
_cell_angle_gamma 90.00
_space_group_name_H-M_alt 'C m m m'
_space_group_IT_number 65
_space_group_name_Hall '-C 2 2'
loop_
_atom_site_label
_atom_site_type_symbol
_atom_site_fract_x
_atom_site_fract_y
_atom_site_fract_z
Dy1 Dy 0.000 0.000 0.000
Ho1 Ho 0.000 0.500 0.248
I1 I 0.000 0.000 0.500
O1 O 0.000 0.181 0.292
O2 O 0.190 0.500 0.000
O3 O 0.230 0.500 0.500

(8)
# Dy2HoIO8, optimized geometry, DFT GGA-PBE
# E_form (uncorrected) (eV per atom): -2.356
# DOS(E_F) (states/eV per cell): 0.0
data_Dy2HoIO8
_cell_length_a 7.050
_cell_length_b 7.160
_cell_length_c 6.814
_cell_angle_alpha 90.00
_cell_angle_beta 90.00
_cell_angle_gamma 90.00
_space_group_name_H-M_alt 'C m m m'
_space_group_IT_number 65
_space_group_name_Hall '-C 2 2'
loop_
_atom_site_label
_atom_site_type_symbol
_atom_site_fract_x
_atom_site_fract_y
_atom_site_fract_z
Dy1 Dy 0.000 0.000 0.248
Ho1 Ho 0.000 0.500 0.000
I1 I 0.000 0.500 0.500
O1 O 0.000 0.320 0.291
O2 O 0.192 0.000 0.000
O3 O 0.231 0.000 0.500

(9)
# DyHoRhI, optimized geometry, DFT GGA-PBE
# E_form (uncorrected) (eV per atom): -0.937
# DOS(E_F) (states/eV per cell): 1.0
data_DyHoRhI
_cell_length_a 4.0646
_cell_length_b 4.0646
_cell_length_c 23.7590
_cell_angle_alpha 90.00
_cell_angle_beta 90.00
_cell_angle_gamma 120.00
_space_group_name_H-M_alt 'R 3 m'
_space_group_IT_number 160
_space_group_name_Hall 'R 3 -2"'
loop_
_atom_site_label
_atom_site_type_symbol
_atom_site_fract_x
_atom_site_fract_y
_atom_site_fract_z
Dy1 Dy 0.0000 0.0000 0.0000
Ho1 Ho 0.0000 0.0000 0.7869
Rh1 Rh 0.0000 0.0000 0.3936
I1 I 0.0000 0.0000 0.2244

(10)
# Dy5Ho2In3, optimized geometry, DFT GGA-PBE
# DFT formation energy (eV/atom): -0.036
# DOS(E_F) (states/eV per cell): 49.9
data_Dy5Ho2In3
_cell_length_a 12.586
_cell_length_b 15.140
_cell_length_c 6.551
_cell_angle_alpha 90.00
_cell_angle_beta 90.00
_cell_angle_gamma 90.00
_space_group_name_H-M_alt 'I b a m'
_space_group_IT_number 72
_space_group_name_Hall '-I 2 2c'
loop_
_atom_site_label
_atom_site_type_symbol
_atom_site_fract_x
_atom_site_fract_y
_atom_site_fract_z
Dy1 Dy 0.000 0.000 0.250
Dy2 Dy 0.075 0.339 0.000
Dy3 Dy 0.241 0.500 0.250
Ho1 Ho 0.150 0.199 0.500
In1 In 0.000 0.500 0.250
In2 In 0.137 0.148 0.000

(11)
# Dy2HoIn2, optimized geometry, DFT GGA-PBE
# DFT formation energy (eV/atom): -0.323
# Polymorph energy (0 for the lowest one) (meV per atom): 55
# DOS(E_F) (states/eV per cell): 20.3
data_Dy2HoIn2
_cell_length_a 5.367
_cell_length_b 15.981
_cell_length_c 6.490
_cell_angle_alpha 90.00
_cell_angle_beta 90.00
_cell_angle_gamma 90.00
_space_group_name_H-M_alt 'C m c 21'
_space_group_IT_number 36
_space_group_name_Hall 'C 2c -2'
loop_
_atom_site_label
_atom_site_type_symbol
_atom_site_fract_x
_atom_site_fract_y
_atom_site_fract_z
Dy1 Dy 0.000 0.026 0.000
Dy2 Dy 0.000 0.197 0.436
Ho1 Ho 0.000 0.402 0.202
In1 In 0.000 0.214 0.924
In2 In 0.000 0.398 0.716

(12)
# Dy3Ho5In2, optimized geometry, DFT GGA-PBE
# DFT formation energy (eV/atom): 0.104
# DOS(E_F) (states/eV per cell): 49.5
data_Dy3Ho5In2
_cell_length_a 12.680
_cell_length_b 15.568
_cell_length_c 6.318
_cell_angle_alpha 90.00
_cell_angle_beta 90.00
_cell_angle_gamma 90.00
_space_group_name_H-M_alt 'I b a m'
_space_group_IT_number 72
_space_group_name_Hall '-I 2 2c'
loop_
_atom_site_label
_atom_site_type_symbol
_atom_site_fract_x
_atom_site_fract_y
_atom_site_fract_z
Dy1 Dy 0.000 0.000 0.250
Dy2 Dy 0.111 0.231 0.000
Ho1 Ho 0.000 0.500 0.250
Ho2 Ho 0.125 0.336 0.500
Ho3 Ho 0.249 0.500 0.250
In1 In 0.135 0.147 0.500